A relaxed structure of Sr5LaIn6, computed with PBE.

```
data_Sr5LaIn6
_space_group_name_H-M_alt 'P 1'
_space_group_IT_number 1
_cell_length_a 5.707
_cell_length_b 8.146
_cell_length_c 9.037
_cell_angle_alpha 90.00
_cell_angle_beta 71.59
_cell_angle_gamma 90.00
loop_
_space_group_symop_operation_xyz
'x,y,z'
loop_
_atom_site_label
_atom_site_fract_x
_atom_site_fract_y
_atom_site_fract_z
Sr1 0.667 0.500 0.665
Sr2 0.331 0.000 0.339
Sr3 0.000 0.500 0.000
Sr4 0.669 0.000 0.661
Sr5 0.333 0.500 0.335
In1 0.837 0.753 0.325
In2 0.837 0.247 0.325
In3 0.500 0.243 0.000
In4 0.500 0.757 0.000
In5 0.163 0.753 0.675
In6 0.163 0.247 0.675
La1 0.000 0.000 0.000
```

Values from the calculation:
Its calculated total energy is -2.924 eV per atom. For the density of states at the Fermi level, the calculation gives 6.50 states/eV/f.u.